#a
A relaxed In5Au3 crystal. Source: Alexandria via LeMat-Bulk, functional GGA-PBE.

Values from the calculation:
Total magnetization = 0.00 μB per atom
Density = 10099 kg/m3

```
In5Au3
1.0
12.708 0.000 0.000
0.000 8.166 0.000
0.000 0.000 7.383
In Au
20 12
Cartesian
0.016 2.042 0.217
1.284 4.400 2.324
1.284 7.849 2.324
2.347 2.042 4.874
2.692 6.125 5.069
3.662 2.042 1.378
4.007 6.125 1.183
5.071 0.317 6.016
5.071 3.766 6.016
6.338 6.125 3.909
6.371 2.042 3.474
7.638 4.400 1.368
7.638 7.849 1.368
8.701 2.042 6.201
9.047 6.125 6.005
10.016 2.042 2.314
10.361 6.125 2.509
11.425 0.317 5.059
11.425 3.766 5.059
12.692 6.125 7.166
0.023 2.042 3.207
2.285 0.057 7.050
2.285 4.026 7.050
4.069 4.140 3.359
4.069 8.109 3.359
6.332 6.125 6.898
6.377 2.042 0.485
8.639 0.057 4.025
8.639 4.026 4.025
10.423 4.140 0.333
10.423 8.109 0.333
12.686 6.125 4.177
```


#b
A relaxed In5Au3 crystal. Source: Alexandria via LeMat-Bulk, functional GGA-PBE.

Values from the calculation:
Total magnetization = 0.00 μB per atom
Density = 10358 kg/m3

```
In5Au3
1.0
8.056 0.000 0.000
0.000 10.360 0.000
0.000 0.000 4.475
In Au
10 6
Cartesian
0.000 0.000 0.000
1.682 5.180 2.238
2.014 2.590 0.000
2.014 7.770 0.000
2.346 0.000 2.238
4.028 5.180 0.000
5.710 0.000 2.238
6.042 2.590 0.000
6.042 7.770 0.000
6.374 5.180 2.238
0.000 2.052 2.238
0.000 5.180 0.000
0.000 8.308 2.238
4.028 0.000 0.000
4.028 3.128 2.238
4.028 7.232 2.238
```


Stability, lowest: #b


#a
A relaxed InIrAu crystal. Source: Alexandria via LeMat-Bulk, functional GGA-PBE.

Values from the calculation:
Total magnetization = 0.00 μB per atom
Density = 15691 kg/m3

```
InIrAu
1.0
3.105 0.000 0.000
0.000 3.105 0.000
0.000 0.000 11.067
In Ir Au
2 2 2
Cartesian
0.000 0.000 0.000
1.552 1.552 5.534
0.000 0.000 3.850
1.552 1.552 9.384
0.000 0.000 7.528
1.552 1.552 1.994
```


#b
A relaxed InIrAu crystal. Source: Alexandria via LeMat-Bulk, functional GGA-PBE.

Values from the calculation:
Total magnetization = 0.00 μB per atom
Density = 13752 kg/m3

```
InIrAu
1.0
3.674 0.000 0.000
0.000 3.674 0.000
0.000 0.000 18.031
In Ir Au
4 4 4
Cartesian
0.000 0.000 1.992
0.000 0.000 16.039
1.837 1.837 7.024
1.837 1.837 11.008
0.000 0.000 7.789
0.000 0.000 10.242
1.837 1.837 1.226
1.837 1.837 16.805
0.000 0.000 5.021
0.000 0.000 13.010
1.837 1.837 3.995
1.837 1.837 14.036
```


#c
A relaxed InIrAu crystal. Source: Alexandria via LeMat-Bulk, functional GGA-PBE.

Values from the calculation:
Total magnetization = 0.00 μB per atom
Density = 15573 kg/m3

```
InIrAu
1.0
4.512 0.000 0.000
-2.256 3.907 0.000
0.000 0.000 3.048
In Ir Au
1 1 1
Cartesian
0.000 0.000 0.000
2.256 1.302 0.928
0.000 2.605 2.164
```


#d
A relaxed InIrAu crystal. Source: Alexandria via LeMat-Bulk, functional GGA-PBE.

Values from the calculation:
Total magnetization = 0.00 μB per atom
Density = 13337 kg/m3

```
InIrAu
1.0
6.308 0.000 0.000
0.000 6.308 0.000
0.000 0.000 6.308
In Ir Au
4 4 4
Cartesian
0.000 0.000 0.000
0.000 3.154 3.154
3.154 0.000 3.154
3.154 3.154 0.000
1.577 1.577 4.731
1.577 4.731 1.577
4.731 1.577 1.577
4.731 4.731 4.731
0.000 0.000 3.154
0.000 3.154 0.000
3.154 0.000 0.000
3.154 3.154 3.154
```


Stability, lowest: #b